[1]
Entry from the Alexandria database: a PBEsol-optimized structure of TaFeAu2 (SCAN).

Its calculated formation energy is 0.082 eV/atom. The magnetic moment is 9.128 μB/cell. The calculation puts the total energy at -55.674 eV/atom. Its relative energy among the computed polymorphs is 0.115 eV per atom.

It has space group R-3m (No. 166, hexagonal axes), with a = 2.8417 Å, b = 2.8417 Å, c = 27.2595 Å, α = 90.00°, β = 90.00° and γ = 120.00°. The distinct sites, in fractional coordinates, are Ta at (0.0000, 0.0000, 0.0000), Fe at (0.0000, 0.0000, 0.5000) and Au at (0.0000, 0.0000, 0.2457).



[2]
Entry from the Alexandria database: a PBEsol-optimized structure of Mn3O2F4 (SCAN).

The magnetic moment is 26.000 μB/cell. The calculation puts the total energy at -11.637 eV/atom. The calculation puts the uncorrected formation energy at -2.594 eV/atom. Its relative energy among the computed polymorphs is 0.002 eV per atom.

It has space group Pnnm (No. 58), with a = 4.779 Å, b = 14.178 Å, c = 3.074 Å, α = 90.00°, β = 90.00° and γ = 90.00°. The distinct sites, in fractional coordinates, are Mn at (0.000, 0.000, 0.000), Mn at (0.072, 0.343, 0.000), O at (0.236, 0.402, 0.500), F at (0.127, 0.728, 0.500) and F at (0.210, 0.065, 0.500).



[3]
Entry from the Alexandria database: a PBEsol-optimized structure of Ca4LaPt (SCAN).

Its calculated formation energy is 0.461 eV/atom. The magnetic moment is 4.912 μB/cell. The calculation puts the total energy at -24.864 eV/atom.

It has space group F-43m (No. 216), with a = 9.104 Å, b = 9.104 Å, c = 9.104 Å, α = 90.00°, β = 90.00° and γ = 90.00°. The distinct sites, in fractional coordinates, are Ca at (0.124, 0.124, 0.124), La at (0.000, 0.000, 0.500) and Pt at (0.250, 0.250, 0.750).



[4]
Entry from the Alexandria database: a PBEsol-optimized structure of HgPbBr2 (SCAN).

The magnetic moment is 0.000 μB/cell. The calculation puts the total energy at -46.357 eV/atom. The calculation puts the uncorrected formation energy at -0.641 eV/atom. Its relative energy among the computed polymorphs is 0.000 eV per atom.

It has space group C2/m (No. 12), with a = 7.467 Å, b = 4.315 Å, c = 9.266 Å, α = 90.00°, β = 105.43° and γ = 90.00°. The distinct sites, in fractional coordinates, are Hg at (0.000, 0.000, 0.000), Pb at (0.000, 0.500, 0.500) and Br at (0.229, 0.000, 0.691).



[5]
Entry from the Alexandria database: a PBEsol-optimized structure of Ta3Cu (SCAN).

Its calculated formation energy is 0.072 eV/atom. The magnetic moment is 0.000 μB/cell. The calculation puts the total energy at -53.665 eV/atom.

It has space group P4/mmm (No. 123), with a = 3.287 Å, b = 3.287 Å, c = 5.980 Å, α = 90.00°, β = 90.00° and γ = 90.00°. The distinct sites, in fractional coordinates, are Ta at (0.000, 0.000, 0.000), Ta at (0.500, 0.500, 0.258) and Cu at (0.000, 0.000, 0.500).



[6]
Entry from the Alexandria database: a PBEsol-optimized structure of SiGeAs2W (SCAN).

The magnetic moment is 1.638 μB/cell. The calculation puts the total energy at -26.441 eV/atom. The calculation puts the uncorrected formation energy at 1.393 eV/atom.

It has space group P4/mmm (No. 123), with a = 4.655 Å, b = 4.655 Å, c = 4.683 Å, α = 90.00°, β = 90.00° and γ = 90.00°. The distinct sites, in fractional coordinates, are Si at (0.000, 0.000, 0.000), Ge at (0.500, 0.500, 0.500), As at (0.000, 0.500, 0.000) and W at (0.000, 0.000, 0.500).



[7]
Entry from the Alexandria database: a PBEsol-optimized structure of Ta3AuN (SCAN).

The magnetic moment is 0.000 μB/cell. The calculation puts the total energy at -56.150 eV/atom. The calculation puts the uncorrected formation energy at -0.510 eV/atom.

It has space group Pm-3m (No. 221), with a = 4.205 Å, b = 4.205 Å, c = 4.205 Å, α = 90.00°, β = 90.00° and γ = 90.00°. The distinct sites, in fractional coordinates, are Ta at (0.000, 0.000, 0.500), Au at (0.500, 0.500, 0.500) and N at (0.000, 0.000, 0.000).



[8]
Entry from the Alexandria database: a PBEsol-optimized structure of Mn2ReOs (SCAN).

Its calculated formation energy is 0.019 eV/atom. The magnetic moment is 5.361 μB/cell. The calculation puts the total energy at -44.853 eV/atom.

It has space group I4/mmm (No. 139), with a = 3.720 Å, b = 3.720 Å, c = 7.240 Å, α = 90.00°, β = 90.00° and γ = 90.00°. The distinct sites, in fractional coordinates, are Mn at (0.000, 0.500, 0.250), Re at (0.000, 0.000, 0.000) and Os at (0.000, 0.000, 0.500).



[9]
Entry from the Alexandria database: a PBEsol-optimized structure of BaTiSi2Pb (SCAN).

The magnetic moment is 2.746 μB/cell. The calculation puts the total energy at -28.447 eV/atom. The calculation puts the uncorrected formation energy at 1.831 eV/atom. Its relative energy among the computed polymorphs is 0.561 eV per atom.

It has space group P4/mmm (No. 123), with a = 5.475 Å, b = 5.475 Å, c = 5.124 Å, α = 90.00°, β = 90.00° and γ = 90.00°. The distinct sites, in fractional coordinates, are Ba at (0.000, 0.000, 0.000), Ti at (0.000, 0.000, 0.500), Si at (0.000, 0.500, 0.000) and Pb at (0.500, 0.500, 0.500).



[10]
Entry from the Alexandria database: a PBEsol-optimized structure of Sr3CaCu4O8 (SCAN).

The magnetic moment is 0.000 μB/cell. The calculation puts the total energy at -13.655 eV/atom. The calculation puts the uncorrected formation energy at -1.959 eV/atom.

It has space group Pmmm (No. 47), with a = 3.352 Å, b = 3.878 Å, c = 15.473 Å, α = 90.00°, β = 90.00° and γ = 90.00°. The distinct sites, in fractional coordinates, are Sr at (0.000, 0.000, 0.000), Sr at (0.000, 0.000, 0.253), Ca at (0.000, 0.000, 0.500), Cu at (0.500, 0.500, 0.126), Cu at (0.500, 0.500, 0.377), O at (0.500, 0.000, 0.127), O at (0.500, 0.000, 0.382), O at (0.500, 0.500, 0.000), O at (0.500, 0.500, 0.253) and O at (0.500, 0.500, 0.500).



[11]
Entry from the Alexandria database: a PBEsol-optimized structure of LiNiP4O12 (SCAN).

The magnetic moment is 4.000 μB/cell. The calculation puts the total energy at -9.727 eV/atom. The calculation puts the uncorrected formation energy at -2.231 eV/atom. Its relative energy among the computed polymorphs is 0.000 eV per atom.

It has space group Pbcn (No. 60), with a = 12.423 Å, b = 8.298 Å, c = 8.826 Å, α = 90.00°, β = 90.00° and γ = 90.00°. The distinct sites, in fractional coordinates, are Li at (0.000, 0.011, 0.250), Ni at (0.000, 0.368, 0.250), P at (0.139, 0.183, 0.505), P at (0.145, 0.460, 0.995), O at (0.057, 0.190, 0.377), O at (0.061, 0.457, 0.873), O at (0.111, 0.095, 0.644), O at (0.124, 0.359, 0.136), O at (0.177, 0.363, 0.544) and O at (0.247, 0.112, 0.427).



[12]
Entry from the Alexandria database: a PBEsol-optimized structure of HgSb2Se (SCAN).

The magnetic moment is 0.000 μB/cell. The calculation puts the total energy at -40.456 eV/atom. The calculation puts the uncorrected formation energy at 0.235 eV/atom. Its relative energy among the computed polymorphs is 0.259 eV per atom.

It has space group P4mm (No. 99), with a = 3.552 Å, b = 3.552 Å, c = 7.646 Å, α = 90.00°, β = 90.00° and γ = 90.00°. The distinct sites, in fractional coordinates, are Hg at (0.000, 0.000, 0.000), Sb at (0.000, 0.000, 0.534), Sb at (0.500, 0.500, 0.251) and Se at (0.500, 0.500, 0.734).



[13]
Entry from the Alexandria database: a PBEsol-optimized structure of W2AuBr (SCAN).

The magnetic moment is 0.000 μB/cell. The calculation puts the total energy at -55.670 eV/atom. The calculation puts the uncorrected formation energy at 1.328 eV/atom. Its relative energy among the computed polymorphs is 0.128 eV per atom.

It has space group C2/m (No. 12), with a = 5.530 Å, b = 9.196 Å, c = 2.844 Å, α = 90.00°, β = 110.61° and γ = 90.00°. The distinct sites, in fractional coordinates, are W at (0.250, 0.250, 0.000), Au at (0.000, 0.000, 0.500) and Br at (0.000, 0.500, 0.500).



[14]
Entry from the Alexandria database: a PBEsol-optimized structure of Sr2ZnSe (SCAN).

The magnetic moment is 0.003 μB/cell. The calculation puts the total energy at -20.341 eV/atom. The calculation puts the uncorrected formation energy at -0.805 eV/atom. Its relative energy among the computed polymorphs is 0.276 eV per atom.

It has space group I4/mmm (No. 139), with a = 5.067 Å, b = 5.067 Å, c = 8.614 Å, α = 90.00°, β = 90.00° and γ = 90.00°. The distinct sites, in fractional coordinates, are Sr at (0.000, 0.500, 0.250), Zn at (0.000, 0.000, 0.000) and Se at (0.000, 0.000, 0.500).



[15]
Entry from the Alexandria database: a PBEsol-optimized structure of TaRhAu2 (SCAN).

Its calculated formation energy is -0.241 eV/atom. The magnetic moment is 0.000 μB/cell. The calculation puts the total energy at -59.908 eV/atom. Its relative energy among the computed polymorphs is 0.054 eV per atom.

It has space group P4mm (No. 99), with a = 2.863 Å, b = 2.863 Å, c = 7.887 Å, α = 90.00°, β = 90.00° and γ = 90.00°. The distinct sites, in fractional coordinates, are Ta at (0.000, 0.000, 0.000), Rh at (0.500, 0.500, 0.777), Au at (0.000, 0.000, 0.524) and Au at (0.500, 0.500, 0.257).



[16]
Entry from the Alexandria database: a PBEsol-optimized structure of Hf3CdAu (SCAN).

Its calculated formation energy is 0.497 eV/atom. The magnetic moment is 0.000 μB/cell. The calculation puts the total energy at -57.021 eV/atom.

It has space group Pm-3m (No. 221), with a = 5.051 Å, b = 5.051 Å, c = 5.051 Å, α = 90.00°, β = 90.00° and γ = 90.00°. The distinct sites, in fractional coordinates, are Hf at (0.000, 0.000, 0.500), Cd at (0.500, 0.500, 0.500) and Au at (0.000, 0.000, 0.000).



[17]
Entry from the Alexandria database: a PBEsol-optimized structure of CrCoRh2 (SCAN).

Its calculated formation energy is -0.029 eV/atom. The magnetic moment is 3.232 μB/cell. The calculation puts the total energy at -25.837 eV/atom.

It has space group Pmmm (No. 47), with a = 2.612 Å, b = 3.565 Å, c = 5.238 Å, α = 90.00°, β = 90.00° and γ = 90.00°. The distinct sites, in fractional coordinates, are Cr at (0.000, 0.000, 0.000), Co at (0.000, 0.000, 0.500) and Rh at (0.500, 0.500, 0.251).



[18]
Entry from the Alexandria database: a PBEsol-optimized structure of MnNb3Cl (SCAN).

The magnetic moment is 2.980 μB/cell. The calculation puts the total energy at -24.527 eV/atom. The calculation puts the uncorrected formation energy at 0.597 eV/atom. Its relative energy among the computed polymorphs is 0.000 eV per atom.

It has space group Pm-3m (No. 221), with a = 4.510 Å, b = 4.510 Å, c = 4.510 Å, α = 90.00°, β = 90.00° and γ = 90.00°. The distinct sites, in fractional coordinates, are Mn at (0.000, 0.000, 0.000), Nb at (0.000, 0.500, 0.500) and Cl at (0.500, 0.500, 0.500).



[19]
Entry from the Alexandria database: a PBEsol-optimized structure of CaSi2Ni (SCAN).

The magnetic moment is 0.000 μB/cell. The calculation puts the total energy at -11.612 eV/atom. The calculation puts the uncorrected formation energy at -0.145 eV/atom.

It has space group P4mm (No. 99), with a = 3.127 Å, b = 3.127 Å, c = 6.534 Å, α = 90.00°, β = 90.00° and γ = 90.00°. The distinct sites, in fractional coordinates, are Ca at (0.000, 0.000, 0.000), Si at (0.000, 0.000, 0.464), Si at (0.500, 0.500, 0.689) and Ni at (0.500, 0.500, 0.336).



[20]
Entry from the Alexandria database: a PBEsol-optimized structure of NaTiBe2Os (SCAN).

Its calculated formation energy is 1.849 eV/atom. The magnetic moment is 0.000 μB/cell. The calculation puts the total energy at -18.317 eV/atom.

It has space group P4/mmm (No. 123), with a = 3.950 Å, b = 3.950 Å, c = 4.439 Å, α = 90.00°, β = 90.00° and γ = 90.00°. The distinct sites, in fractional coordinates, are Na at (0.000, 0.000, 0.000), Ti at (0.000, 0.000, 0.500), Be at (0.000, 0.500, 0.000) and Os at (0.500, 0.500, 0.500).



[21]
Entry from the Alexandria database: a PBEsol-optimized structure of ZnCr3Au (SCAN).

Its calculated formation energy is 0.942 eV/atom. The magnetic moment is 13.042 μB/cell. The calculation puts the total energy at -26.623 eV/atom. Its relative energy among the computed polymorphs is 0.000 eV per atom.

It has space group Pm-3m (No. 221), with a = 4.587 Å, b = 4.587 Å, c = 4.587 Å, α = 90.00°, β = 90.00° and γ = 90.00°. The distinct sites, in fractional coordinates, are Zn at (0.000, 0.000, 0.000), Cr at (0.000, 0.000, 0.500) and Au at (0.500, 0.500, 0.500).



[22]
Entry from the Alexandria database: a PBEsol-optimized structure of SrCa3 (SCAN).

Its calculated formation energy is 0.017 eV/atom. The magnetic moment is 0.035 μB/cell. The calculation puts the total energy at -12.799 eV/atom. Its relative energy among the computed polymorphs is 0.006 eV per atom.

It has space group Pmm2 (No. 25), with a = 3.929 Å, b = 6.477 Å, c = 6.803 Å, α = 90.00°, β = 90.00° and γ = 90.00°. The distinct sites, in fractional coordinates, are Sr at (0.000, 0.000, 0.000), Ca at (0.000, 0.500, 0.663), Ca at (0.500, 0.000, 0.499) and Ca at (0.500, 0.500, 0.171).



[23]
Entry from the Alexandria database: a PBEsol-optimized structure of InSiMo2 (SCAN).

The magnetic moment is 0.000 μB/cell. The calculation puts the total energy at -28.017 eV/atom. The calculation puts the uncorrected formation energy at 0.276 eV/atom. Its relative energy among the computed polymorphs is 0.217 eV per atom.

It has space group R-3m (No. 166, hexagonal axes), with a = 2.9252 Å, b = 2.9252 Å, c = 25.9718 Å, α = 90.00°, β = 90.00° and γ = 120.00°. The distinct sites, in fractional coordinates, are In at (0.0000, 0.0000, 0.0000), Si at (0.0000, 0.0000, 0.5000) and Mo at (0.0000, 0.0000, 0.2425).



[24]
Entry from the Alexandria database: a PBEsol-optimized structure of KTlIr2 (SCAN).

Its calculated formation energy is 0.933 eV/atom. The magnetic moment is 0.009 μB/cell. The calculation puts the total energy at -54.788 eV/atom. Its relative energy among the computed polymorphs is 0.645 eV per atom.

It has space group Immm (No. 71), with a = 2.952 Å, b = 5.062 Å, c = 10.134 Å, α = 90.00°, β = 90.00° and γ = 90.00°. The distinct sites, in fractional coordinates, are K at (0.000, 0.000, 0.000), Tl at (0.000, 0.000, 0.500) and Ir at (0.000, 0.500, 0.227).